Crystalline LiAcLuHg at its relaxed geometry. Source: the Alexandria database, functional PBE.

* electronic total energy: -2.86 eV per atom
* N(E_F): 4.6 states/eV/f.u.
* volume: 28.62 A^3/atom

Unit cell a=7.7075 b=7.7075 c=7.7075 alpha=90.00 beta=90.00 gamma=90.00
Space group F-43m (No. 216)
Symmetry-distinct sites (fractional):
Li: 0.0000 0.0000 0.0000
Ac: 0.2500 0.2500 0.2500
Lu: 0.2500 0.2500 0.7500
Hg: 0.0000 0.0000 0.5000